Computed, not measured: crystalline TbCo2Ge4 at its relaxed geometry at the PBE level of DFT.

Structure (POSCAR):
```
TbCo2Ge4
1.0
-0.970 2.790 -2.776
-5.435 -3.246 -1.362
-8.276 8.894 11.830
Ge Co Tb
16 8 4
Cartesian
-8.597 8.735 7.342 Ge
-5.006 3.961 1.290 Ge
-6.605 -0.489 -2.623 Ge
-5.359 4.953 5.370 Ge
-3.030 1.783 1.371 Ge
-7.081 2.466 0.514 Ge
-9.676 4.477 6.401 Ge
-11.651 6.655 6.320 Ge
-8.076 8.928 10.314 Ge
-7.600 5.972 7.177 Ge
-2.451 -0.229 -0.854 Ge
-8.251 5.446 3.917 Ge
-6.431 2.992 3.774 Ge
-6.085 -0.296 0.349 Ge
-12.230 8.667 8.545 Ge
-9.323 3.486 2.321 Ge
-5.955 5.418 3.086 Co
-9.287 6.816 5.655 Co
-5.395 1.623 2.036 Co
-12.169 4.496 7.290 Co
-10.069 9.880 9.007 Co
-8.726 3.020 4.605 Co
-4.613 -1.441 -1.316 Co
-2.513 3.943 0.401 Co
-4.547 1.762 -1.080 Tb
-8.585 0.684 2.207 Tb
-6.097 7.755 5.484 Tb
-10.134 6.676 8.771 Tb
```

**DOS(E_F)**: 0.40 states/eV per atom
**Formation energy**: -0.44 eV/atom